Here is Si2Ni3 after structural relaxation from Alexandria. Energies are from GGA-PBE.

Cell and atoms, written as POSCAR:
```
Si2Ni3
1.0
6.1912 -1.1970 3.4720
4.3256 3.1942 3.2054
0.1115 -2.5852 4.0173
Ni Si
6 4
Direct
0.9195 0.0805 0.0805
0.5065 0.7848 0.8875
0.1695 0.3305 0.3305
0.3625 0.4289 0.7435
0.4652 0.7435 0.4289
0.8211 0.8875 0.7848
0.3593 0.5389 0.2082
0.7111 0.8907 0.3565
0.0418 0.3565 0.8907
0.8935 0.2082 0.5389
```

Computed properties:
uncorrected formation energy	-0.450	eV per atom
VASP energy	-6.088	eV/atom
D(E_F)	1.16	states/eV/f.u.